Record 1
Computed, not measured: a geometry-optimized PAu2Cl structure at the PBE level of DFT.

extended XYZ file:
```
4
Lattice="-3.581 -1.438 -2.716 0.864 -1.904 -4.231 -0.724 -4.610 -0.705" Properties=species:S:1:pos:R:3 pbc="T T T"
Au -0.860 -1.988 -1.913
Au 0.000 0.000 0.000
Cl -1.721 -3.976 -3.826
P -2.581 -5.963 -5.739
```

## Properties
Energy relative to the lowest polymorph listed for this composition in eV per atom: 0.6749
ΔE_f (raw) in meV/atom: 656.3
DOS at the Fermi energy in states/eV/atom: 0.891
SG: F-43m



Record 2
Computed, not measured: a geometry-optimized PAuCl structure at the PBE level of DFT.

extended XYZ file:
```
3
Lattice="4.476 0.000 0.000 2.238 3.876 0.000 2.238 1.292 3.655" Properties=species:S:1:pos:R:3 pbc="T T T"
P 6.714 3.876 2.741
Cl 4.476 2.584 1.827
Au 0.000 0.000 0.000
```

## Properties
Energy relative to the lowest polymorph listed for this composition in eV per atom: 0.7334
ΔE_f (raw) in meV/atom: 635.0
DOS at the Fermi energy in states/eV/atom: 0.640
SG: F-43m



Record 3
Computed, not measured: a geometry-optimized PAuCl2 structure at the PBE level of DFT.

extended XYZ file:
```
4
Lattice="3.231 0.000 0.000 0.000 3.231 0.000 0.000 0.000 8.394" Properties=species:S:1:pos:R:3 pbc="T T T"
Cl 1.616 1.616 2.805
Cl 0.000 0.000 7.678
Au 1.616 1.616 5.973
P 0.000 0.000 4.529
```

## Properties
Energy relative to the lowest polymorph listed for this composition in eV per atom: 0.6247
ΔE_f (raw) in meV/atom: 294.0
DOS at the Fermi energy in states/eV/atom: 0.287
SG: P4mm



Record 4
Computed, not measured: a geometry-optimized PAuCl2 structure at the PBE level of DFT.

extended XYZ file:
```
4
Lattice="-2.864 -0.771 1.032 2.602 -1.871 5.822 -0.514 3.888 1.479" Properties=species:S:1:pos:R:3 pbc="T T T"
Au 1.044 1.008 3.651
Cl -0.131 -1.321 3.427
Cl 0.000 0.000 0.000
P -1.689 1.558 1.256
```

## Properties
Energy relative to the lowest polymorph listed for this composition in eV per atom: 0.8229
ΔE_f (raw) in meV/atom: 492.2
DOS at the Fermi energy in states/eV/atom: 0.438
SG: Pmmm